Pm4ZnRu | Alexandria | PBE | relaxed; calculated formation energy = -0.24 eV/atom; density = 7.6 g cm⁻³; total magnetization = 0.00 Bohr magnetons per cell; VASP energy = -123.93 eV/cell
1.0
8.425 0.000 4.864
2.808 7.943 4.864
0.000 0.000 9.729
Pm Zn Ru
16 4 4
Direct
0.943 0.943 0.557
0.188 0.188 0.812
0.943 0.557 0.557
0.812 0.188 0.812
0.188 0.812 0.188
0.401 0.401 0.797
0.797 0.401 0.401
0.401 0.401 0.401
0.557 0.557 0.943
0.812 0.188 0.188
0.943 0.557 0.943
0.812 0.812 0.188
0.401 0.797 0.401
0.557 0.943 0.943
0.188 0.812 0.812
0.557 0.943 0.557
0.173 0.173 0.173
0.480 0.173 0.173
0.173 0.480 0.173
0.173 0.173 0.480
0.164 0.612 0.612
0.612 0.164 0.612
0.612 0.612 0.164
0.612 0.612 0.612